# YAg2N2 | Alexandria via LeMat-Bulk | PBE | optimized geometry
data_YAg2N2
_chemical_formula_sum 'Y2 Ag4 N4'
_space_group_name_H-M_alt 'P 4/m b m'
_space_group_IT_number 127
_space_group_name_Hall '-P 4 2ab'
_cell_length_a 6.494
_cell_length_b 6.494
_cell_length_c 4.177
_cell_angle_alpha 90.00
_cell_angle_beta 90.00
_cell_angle_gamma 90.00
loop_
_atom_site_label
_atom_site_type_symbol
_atom_site_fract_x
_atom_site_fract_y
_atom_site_fract_z
Y1 Y 0.000 0.000 0.000
Ag1 Ag 0.158 0.342 0.500
N1 N 0.191 0.309 0.000
# Energy relative to the lowest polymorph listed for this composition: 0.174 eV/atom
# Uncorrected formation energy: 0.3060 eV/atom
# D(E_F): 4.155 states/eV/cell
# Total energy: -0.201 hartree per atom